{
  "formula": "VCd2CuO5",
  "functional": "PBE with a Hubbard U",
  "state": "relaxed",
  "magnetic_moment_mub_per_fu": 1.85,
  "e_tot_ev_per_atom": -5.382,
  "dos_at_fermi_per_ev_cell": 8.00,
  "spacegroup": "No. 36",
  "lattice": [[-1.787, -2.212, -1.246], [5.750, -0.397, -3.674], [3.908, -7.030, 6.876]],
  "species": ["V", "V", "Cd", "Cd", "Cd", "Cd", "Cu", "Cu", "O", "O", "O", "O", "O", "O", "O", "O", "O", "O"],
  "fractional_positions": [[0.755, 0.511, 0.505], [0.245, 0.489, 0.005], [0.878, 0.756, 0.749], [0.126, 0.252, 0.740], [0.122, 0.244, 0.249], [0.874, 0.748, 0.240], [0.513, 0.025, 0.984], [0.487, 0.975, 0.484], [0.377, 0.754, 0.040], [0.745, 0.490, 0.883], [0.501, 0.003, 0.786], [0.274, 0.547, 0.637], [0.903, 0.806, 0.500], [0.623, 0.246, 0.540], [0.255, 0.510, 0.383], [0.499, 0.997, 0.286], [0.726, 0.453, 0.137], [0.097, 0.194, 0.000]]
}